Here is SrMnBe2F8 after structural relaxation from Alexandria via LeMat-Bulk. Energies are from PBE+U.

Results
For the total energy, the calculation gives -5.925 eV per atom.

Structure (CIF):
```
data_SrMnBe2F8
_cell_length_a 8.114
_cell_length_b 5.408
_cell_length_c 7.553
_cell_angle_alpha 90.00
_cell_angle_beta 92.55
_cell_angle_gamma 90.00
_space_group_name_H-M_alt 'C 1 2/m 1'
_space_group_IT_number 12
loop_
_space_group_symop_operation_xyz
'x,y,z'
'-x,-y,-z'
'-x,y,-z'
'x,-y,z'
'x+1/2,y+1/2,z'
'-x+1/2,-y+1/2,-z'
'-x+1/2,y+1/2,-z'
'x+1/2,-y+1/2,z'
loop_
_atom_site_label
_atom_site_fract_x
_atom_site_fract_y
_atom_site_fract_z
Sr1 0.000 0.000 0.000
Mn1 0.000 0.000 0.500
Be1 0.130 0.500 0.269
F1 0.021 0.258 0.276
F2 0.207 0.500 0.083
F3 0.249 0.000 0.570
```